## ZnNi2As (GGA-PBE)

Data for a relaxed structure of ZnNi2As.

Cell lengths 5.5410, 5.8007, 6.8421 Å; angles 90.00, 88.86, 90.00 degrees
With the nearest neighbours (Å) after each atom.
Positions (direct):
1 Zn 0.1935 0.3772 0.1173  5 Ni 2.45-2.66
2 Zn 0.6935 0.1228 0.1173  5 Ni 2.45-2.66
3 Zn 0.8065 0.6228 0.8827  5 Ni 2.45-2.66
4 Zn 0.3065 0.8772 0.8827  5 Ni 2.45-2.66
5 As 0.1842 0.4394 0.6450  6 Ni 2.31-2.43
6 As 0.3158 0.9394 0.3550  6 Ni 2.31-2.43
7 As 0.8158 0.5606 0.3550  6 Ni 2.31-2.43
8 As 0.6842 0.0606 0.6450  6 Ni 2.31-2.43
9 Ni 0.9937 0.1715 0.8463  2 As 2.31-2.32, 3 Zn 2.45-2.48
10 Ni 0.9895 0.1941 0.4121  4 As 2.36-2.43, 1 Zn 2.53, 1 Ni 2.56
11 Ni 0.5063 0.6715 0.1537  2 As 2.31-2.32, 3 Zn 2.45-2.48
12 Ni 0.0105 0.8059 0.5879  4 As 2.36-2.43, 1 Zn 2.53, 1 Ni 2.56
13 Ni 0.4895 0.3059 0.4121  4 As 2.36-2.43, 1 Zn 2.53, 1 Ni 2.56
14 Ni 0.4937 0.3285 0.8463  2 As 2.31-2.32, 3 Zn 2.45-2.48
15 Ni 0.5105 0.6941 0.5879  4 As 2.36-2.43, 1 Zn 2.53, 1 Ni 2.56
16 Ni 0.0063 0.8285 0.1537  2 As 2.31-2.32, 3 Zn 2.45-2.48

Uncorrected energy (eV/f.u.): -18.34
Space group: P2_1/c (14)
Energy above the most stable polymorph in this dataset (eV per formula unit): 0.00

=====

## Ho8Bi2Ru (GGA-PBE)

Data for a relaxed structure of Ho8Bi2Ru.

Cell lengths 4.6550, 7.1922, 9.8601 Å; angles 97.32, 103.65, 90.00 degrees
With the nearest neighbours (Å) after each atom.
Positions (direct):
1 Ru 0.5000 0.0000 0.0000  6 Ho 2.60-2.84
2 Ho 0.7856 0.6527 0.5713  3 Bi 3.26-3.27, 6 Ho 3.36-3.59
3 Ho 0.0010 0.7740 0.0019  2 Ru 2.84
4 Ho 0.3633 0.9589 0.7265  1 Ru 2.60
5 Ho 0.5939 0.5139 0.1879  2 Bi 3.35, 9 Ho 3.47-3.68
6 Ho 0.9990 0.2260 0.9981  2 Ru 2.84
7 Ho 0.2144 0.3473 0.4287  3 Bi 3.26-3.27, 6 Ho 3.36-3.59
8 Ho 0.4061 0.4861 0.8121  2 Bi 3.35, 9 Ho 3.47-3.68
9 Ho 0.6367 0.0411 0.2735  1 Ru 2.60
10 Bi 0.8170 0.2164 0.6341  9 Ho 3.17-3.52
11 Bi 0.1830 0.7836 0.3659  9 Ho 3.17-3.52

Uncorrected energy (eV/f.u.): -57.54
Space group: C2/m (12)

=====

## AlAg4Sn (GGA-PBE)

Data for a relaxed structure of AlAg4Sn.

Cell lengths 3.0263, 3.0263, 12.3624 Å; angles 90.00, 90.00, 90.00 degrees
With the nearest neighbours (Å) after each atom.
Positions (direct):
1 Al 0.5000 0.5000 0.5000  8 Ag 2.78, 4 Al 3.03
2 Ag 0.5000 0.5000 0.8100  8 Ag 2.97-3.03, 4 Sn 3.18
3 Ag 0.0000 0.0000 0.3565  4 Al 2.78, 8 Ag 2.97-3.03
4 Ag 0.0000 0.0000 0.6435  4 Al 2.78, 8 Ag 2.97-3.03
5 Ag 0.5000 0.5000 0.1900  8 Ag 2.97-3.03, 4 Sn 3.18
6 Sn 0.0000 0.0000 0.0000  4 Sn 3.03, 8 Ag 3.18

Uncorrected energy (eV/f.u.): -19.08
Space group: P4/mmm (123)
Energy above the most stable polymorph in this dataset (eV per formula unit): 0.00

=====

## HfF (GGA-PBE)

Data for a relaxed structure of HfF.

Cell lengths 5.0795, 5.0795, 5.0795 Å; angles 90.00, 90.00, 90.00 degrees
With the nearest neighbours (Å) after each atom.
Positions (direct):
1 F 0.2500 0.7500 0.7500  4 Hf 2.20
2 F 0.2500 0.2500 0.2500  4 Hf 2.20
3 F 0.7500 0.2500 0.7500  4 Hf 2.20
4 F 0.7500 0.7500 0.2500  4 Hf 2.20
5 Hf 0.5000 0.0000 0.5000  4 F 2.20
6 Hf 0.0000 0.5000 0.5000  4 F 2.20
7 Hf 0.0000 0.0000 0.0000  4 F 2.20
8 Hf 0.5000 0.5000 0.0000  4 F 2.20

Uncorrected energy (eV/f.u.): -14.63
Space group: F-43m (216)
Energy above the most stable polymorph in this dataset (eV per formula unit): 1.46
E_form (uncorrected) (eV/atom): -1.40